(i)
This record from Alexandria via LeMat-Bulk describes a crystal of Cd3Ag5 relaxed with PBEsol. The functional is meta-GGA SCAN.

Calculated values
Space group ... C2/m

Unit cell a=5.3089 b=7.7893 c=7.8379 alpha=84.03 beta=70.20 gamma=72.12
Atoms (fractional coordinates):
Ag  0.1517  0.8559  0.1926
Ag  0.9299  0.3123  0.3438
Ag  0.2267  0.5429  0.0000
Ag  0.3443  0.8559  0.8074
Ag  0.7263  0.6877  0.3438
Ag  0.2737  0.3123  0.6562
Ag  0.6557  0.1441  0.1926
Ag  0.7733  0.4571  0.0000
Ag  0.0701  0.6877  0.6562
Ag  0.8483  0.1441  0.8074
Cd  0.6656  0.5000  0.6688
Cd  0.7316  0.0000  0.5368
Cd  0.2665  0.1683  0.0000
Cd  0.7335  0.8317  0.0000
Cd  0.2684  0.0000  0.4632
Cd  0.3344  0.5000  0.3312

(ii)
This record from Alexandria via LeMat-Bulk describes a crystal of Cd3Ag5 relaxed with PBEsol. The functional is meta-GGA SCAN.

Calculated values
Space group ... Cmmm

Unit cell a=4.1724 b=5.8157 c=5.8157 alpha=92.99 beta=90.00 gamma=90.00
Atoms (fractional coordinates):
Ag  0.0000  0.0000  0.0000
Ag  0.0000  0.5000  0.0000
Ag  0.0000  0.0000  0.5000
Ag  0.5000  0.7481  0.7481
Ag  0.5000  0.2519  0.2519
Cd  0.0000  0.5000  0.5000
Cd  0.5000  0.7580  0.2420
Cd  0.5000  0.2420  0.7580

(iii)
This record from Alexandria via LeMat-Bulk describes a crystal of Cd3Ag5 relaxed with PBEsol. The functional is meta-GGA SCAN.

Calculated values
Space group ... P6_3/mcm

Unit cell a=5.3583 b=7.9659 c=7.9659 alpha=120.00 beta=90.00 gamma=90.00
Atoms (fractional coordinates):
Ag  0.7500  0.0000  0.2134
Ag  0.2500  0.0000  0.7866
Ag  0.7500  0.7866  0.7866
Ag  0.2500  0.7866  0.0000
Ag  0.0000  0.6667  0.3333
Ag  0.5000  0.6667  0.3333
Ag  0.0000  0.3333  0.6667
Ag  0.5000  0.3333  0.6667
Ag  0.2500  0.2134  0.2134
Ag  0.7500  0.2134  0.0000
Cd  0.2500  0.0000  0.4016
Cd  0.7500  0.0000  0.5984
Cd  0.2500  0.5984  0.5984
Cd  0.7500  0.5984  0.0000
Cd  0.7500  0.4016  0.4016
Cd  0.2500  0.4016  0.0000

Most stable structure, least stable structure: (ii), (iii).